w) VASP calculation (PBE-GGA) on an optimized crystal structure of MgWIN2.

Computed properties:
Theoretical density   6.540 Mg/m³

Structure (POSCAR):
```
MgWIN2
1.0
4.0001 0.0000 0.0000
0.0000 4.0001 0.0000
0.0000 0.0000 5.7609
W N Mg I
1 2 1 1
direct
0.0000 0.0000 0.0000
0.5000 0.0000 0.0000
0.0000 0.5000 0.0000
0.5000 0.5000 0.5000
0.0000 0.0000 0.5000
```

***

x) VASP calculation (PBE-GGA) on an optimized crystal structure of MgWIN2.

Computed properties:
Theoretical density   7.152 Mg/m³

Structure (POSCAR):
```
MgWIN2
1.0
-0.1614 -1.9626 3.4859
3.9491 0.4787 0.4523
-0.8387 4.5402 2.5174
N I Mg W
2 1 1 1
direct
0.5000 0.0000 0.0000
0.0000 0.5000 0.0000
0.0000 0.0000 0.5000
0.0000 0.0000 0.0000
0.5000 0.5000 0.5000
```

***

Most stable one: w), least stable one: x).

***

w) VASP calculation (PBE-GGA) on an optimized crystal structure of YMgI2N.

Computed properties:
Theoretical density   3.983 Mg/m³

Structure (POSCAR):
```
YMgI2N
1.0
-5.6528 -1.9358 1.6836
-0.0955 -3.9121 -4.8189
1.7024 -2.9311 2.3458
I N Y Mg
2 1 1 1
direct
0.0000 0.5000 0.0000
0.5000 0.0000 0.0000
0.0000 0.0000 0.5000
0.0000 0.0000 0.0000
0.5000 0.5000 0.5000
```

***

x) VASP calculation (PBE-GGA) on an optimized crystal structure of YMgI2N.

Computed properties:
Theoretical density   4.946 Mg/m³

Structure (POSCAR):
```
YMgI2N
1.0
5.7203 0.0000 0.0000
0.0000 5.7203 0.0000
0.0000 0.0000 3.9094
Mg I N Y
1 2 1 1
direct
0.0000 0.0000 0.0000
0.5000 0.0000 0.0000
0.0000 0.5000 0.0000
0.0000 0.0000 0.5000
0.5000 0.5000 0.5000
```

***

Most stable one: w), least stable one: x).